Record 1
Compound: BaAlCl6
Source: the Alexandria database
Functional: PBE
Structure: optimized geometry

Properties
As for the crystal system: triclinic. Its electronic total energy is -29.2 eV for the cell shown. The energy relative to the elements, uncorrected is -1553.1 meV/atom. Its symmetry is P-1 (2). The calculated density is 2680 kg/m³.

Cell lengths 6.738, 6.731, 7.120 Å; angles 61.57, 61.62, 59.93 degrees
Atoms (fractional coordinates):
Ba1 0.500 0.500 0.500
Al1 0.000 0.000 0.000
Cl1 0.019 0.382 0.776
Cl2 0.820 0.020 0.778
Cl3 0.619 0.178 0.224
Cl4 0.180 0.980 0.222
Cl5 0.981 0.618 0.224
Cl6 0.381 0.822 0.776


Record 2
Compound: BaMgAs2
Source: the Alexandria database
Functional: PBE
Structure: optimized geometry

Properties
As for the crystal system: tetragonal. Its electronic total energy is -14.9 eV for the cell shown. Its symmetry is P4/mmm (123). The calculated density is 5112 kg/m³.

Cell lengths 3.833, 3.833, 6.885 Å; angles 90.00, 90.00, 90.00 degrees
Atoms (fractional coordinates):
As1 0.000 0.000 0.937
As2 0.000 0.000 0.563
Ba1 0.500 0.500 0.250
Mg1 0.500 0.500 0.750